Density functional theory data (PBE-GGA) for an optimized crystal structure of NiH6C8S8N2.

Space group   P2_1/c, No. 14
Calculated volume   15.01 A^3/atom
Crystal system   monoclinic
E_tot   -296.02 eV per cell

The structure in POSCAR format:
```
NiH6C8S8N2
1.0
-4.494 -0.452 -2.326
-8.949 -5.967 18.449
1.236 6.879 2.824
C S H N Ni
16 16 12 4 2
Direct
0.060 0.058 0.259 C
0.856 0.181 0.596 C
0.144 0.681 0.904 C
0.918 0.109 0.140 C
0.082 0.891 0.860 C
0.680 0.843 0.679 C
0.144 0.819 0.404 C
0.940 0.558 0.241 C
0.940 0.942 0.741 C
0.856 0.319 0.096 C
0.082 0.609 0.360 C
0.060 0.442 0.759 C
0.320 0.157 0.321 C
0.918 0.391 0.640 C
0.680 0.657 0.179 C
0.320 0.343 0.821 C
0.581 0.098 0.967 S
0.581 0.402 0.467 S
0.419 0.598 0.533 S
0.441 0.718 0.094 S
0.393 0.081 0.422 S
0.607 0.919 0.578 S
0.559 0.282 0.906 S
0.419 0.902 0.033 S
0.441 0.782 0.594 S
0.559 0.218 0.406 S
0.907 0.514 0.734 S
0.093 0.486 0.266 S
0.093 0.014 0.766 S
0.607 0.581 0.078 S
0.907 0.986 0.234 S
0.393 0.419 0.922 S
0.201 0.667 0.784 H
0.065 0.859 0.459 H
0.935 0.359 0.041 H
0.201 0.833 0.284 H
0.799 0.167 0.716 H
0.022 0.217 0.645 H
0.022 0.283 0.145 H
0.065 0.641 0.959 H
0.978 0.783 0.355 H
0.799 0.333 0.216 H
0.935 0.141 0.541 H
0.978 0.717 0.855 H
0.933 0.836 0.823 N
0.067 0.164 0.177 N
0.067 0.336 0.677 N
0.933 0.664 0.323 N
0.500 0.500 0.500 Ni
0.500 0.000 0.000 Ni
```